Here is a geometry-optimized MgMnTl2 structure from Alexandria. Energies are from PBEsol.

a = 4.212 Å, b = 4.212 Å, c = 5.657 Å
α = 111.86°, β = 111.86°, γ = 90.00°
Last column: magnetic moment on the atom in μB.
Sites, in units of the cell vectors:
Mn (0.250, 0.750, 0.500)  3.79
Mg (0.500, 0.500, 0.000)  -0.03
Tl (0.750, 0.250, 0.500)  -0.05
Tl (0.000, 0.000, 0.000)  -0.03

Space group: I-4m2 (119)

Here is a geometry-optimized MgMnTl2 structure from Alexandria. Energies are from PBEsol.

a = 3.279 Å, b = 3.279 Å, c = 8.210 Å
α = 90.00°, β = 90.00°, γ = 90.00°
Last column: magnetic moment on the atom in μB.
Sites, in units of the cell vectors:
Mg (0.000, 0.000, 0.541)  -0.03
Tl (0.500, 0.500, 0.263)  0.00
Tl (0.000, 0.000, 0.955)  0.00
Mn (0.500, 0.500, 0.740)  3.55

Space group: P4mm (99)

Here is a geometry-optimized MgMnW2 structure from Alexandria. Energies are from PBEsol.

a = 3.184 Å, b = 4.259 Å, c = 4.459 Å
α = 90.00°, β = 90.00°, γ = 90.00°
Last column: magnetic moment on the atom in μB.
Sites, in units of the cell vectors:
W (0.500, 0.500, 0.000)  -0.33
W (0.000, 0.000, 0.000)  0.20
Mn (0.000, 0.500, 0.500)  2.63
Mg (0.500, 0.000, 0.500)  -0.01

Space group: Pmmm (47)

Here is a geometry-optimized MgMn2W structure from Alexandria. Energies are from PBEsol.

a = 2.693 Å, b = 2.693 Å, c = 7.482 Å
α = 90.00°, β = 90.00°, γ = 90.00°
Last column: magnetic moment on the atom in μB.
Sites, in units of the cell vectors:
Mn (0.000, 0.000, 0.046)  0.22
Mn (0.500, 0.500, 0.207)  -0.08
W (0.000, 0.000, 0.469)  0.02
Mg (0.500, 0.500, 0.778)  0.00

Space group: P4mm (99)

Here is a geometry-optimized MgMn2W structure from Alexandria. Energies are from PBEsol.

a = 2.694 Å, b = 2.694 Å, c = 8.900 Å
α = 81.30°, β = 81.30°, γ = 60.00°
Last column: magnetic moment on the atom in μB.
Sites, in units of the cell vectors:
Mn (0.742, 0.742, 0.773)  -0.77
Mn (0.010, 0.010, 0.971)  0.84
Mg (0.256, 0.256, 0.232)  0.00
W (0.492, 0.492, 0.524)  0.02

Space group: R3m (160)

Here is a geometry-optimized MgMn3W structure from Alexandria. Energies are from PBEsol.

a = 4.540 Å, b = 4.540 Å, c = 4.540 Å
α = 90.00°, β = 90.00°, γ = 90.00°
Last column: magnetic moment on the atom in μB.
Sites, in units of the cell vectors:
Mn (0.500, 0.000, 0.000)  2.50
Mn (0.000, 0.500, 0.000)  2.50
Mn (0.000, 0.000, 0.500)  2.50
W (0.000, 0.000, 0.000)  -0.76
Mg (0.500, 0.500, 0.500)  -0.03

Space group: Pm-3m (221)

Here is a geometry-optimized Mg4MnW structure from Alexandria. Energies are from PBEsol.

a = 5.373 Å, b = 5.373 Å, c = 5.373 Å
α = 60.00°, β = 60.00°, γ = 60.00°
Last column: magnetic moment on the atom in μB.
Sites, in units of the cell vectors:
Mg (0.877, 0.374, 0.374)  -0.02
Mg (0.374, 0.877, 0.374)  -0.02
Mg (0.374, 0.374, 0.374)  -0.02
Mg (0.374, 0.374, 0.877)  -0.02
Mn (0.750, 0.750, 0.750)  3.71
W (0.000, 0.000, 0.000)  -1.47

Space group: F-43m (216)

Here is a geometry-optimized Mg2MnW structure from Alexandria. Energies are from PBEsol.

a = 3.038 Å, b = 3.038 Å, c = 7.117 Å
α = 90.00°, β = 90.00°, γ = 90.00°
Sites, in units of the cell vectors:
Mg (0.000, 0.000, 0.975)
Mg (0.500, 0.500, 0.289)
W (0.500, 0.500, 0.700)
Mn (0.000, 0.000, 0.536)

Space group: P4mm (99)

Here is a geometry-optimized Mg2MnW structure from Alexandria. Energies are from PBEsol.

a = 2.732 Å, b = 4.662 Å, c = 5.307 Å
α = 95.17°, β = 90.00°, γ = 107.04°
Last column: magnetic moment on the atom in μB.
Sites, in units of the cell vectors:
W (0.753, 0.507, 0.283)  -0.28
Mg (0.245, 0.489, 0.752)  -0.01
Mg (0.003, 0.005, 0.004)  -0.02
Mn (0.499, 0.999, 0.461)  2.21

Space group: Cm (8)

Here is a geometry-optimized MgMnW structure from Alexandria. Energies are from PBEsol.

a = 2.691 Å, b = 2.691 Å, c = 6.720 Å
α = 101.55°, β = 101.55°, γ = 90.00°
Last column: magnetic moment on the atom in μB.
Sites, in units of the cell vectors:
Mn (0.673, 0.673, 0.346)  2.85
Mg (0.004, 0.004, 0.007)  -0.01
W (0.324, 0.324, 0.647)  0.02

Space group: I4mm (107)

Here is a geometry-optimized YMg2Mn structure from Alexandria. Energies are from PBEsol.

a = 3.078 Å, b = 5.351 Å, c = 6.109 Å
α = 114.06°, β = 101.50°, γ = 96.90°
Last column: magnetic moment on the atom in μB.
Sites, in units of the cell vectors:
Y (0.500, 0.000, 0.000)  -0.30
Mg (0.000, 0.000, 0.500)  -0.01
Mg (0.500, 0.500, 0.500)  -0.01
Mn (0.000, 0.500, 0.000)  3.56

Space group: C2/m (12)

Here is a geometry-optimized YMgMn3 structure from Alexandria. Energies are from PBEsol.

a = 4.812 Å, b = 4.812 Å, c = 4.812 Å
α = 90.00°, β = 90.00°, γ = 90.00°
Last column: magnetic moment on the atom in μB.
Sites, in units of the cell vectors:
Y (0.000, 0.000, 0.000)  -0.31
Mg (0.500, 0.500, 0.500)  -0.03
Mn (0.500, 0.000, 0.000)  3.33
Mn (0.000, 0.500, 0.000)  3.33
Mn (0.000, 0.000, 0.500)  3.33

Space group: Pm-3m (221)

Asked for calculated volume across the records above, the calculation gives 21.3 22.1 15.1 13.6 13.8 18.7 18.3 16.4 16.1 15.6 21.9 22.3 Å³/atom in order.
Asked for total energy across the records above, the calculation gives -3.87 -3.88 -9.31 -8.43 -8.30 -7.63 -4.23 -6.50 -6.25 -7.92 -4.65 -5.98 eV/atom in order.
Asked for energy of formation across the records above, the calculation gives 0.3101 0.3045 0.4638 0.3274 0.4596 1.3312 0.8420 0.2485 0.4973 0.5069 0.3499 1.5889 eV/atom in order.